Entry 1:
Material: Ca2BeSi
Method: DFT, PBE-GGA
State: relaxed

## Properties
Formation energy without anion corrections, eV per atom: -0.210
Energy relative to the lowest polymorph listed for this composition, meV per atom: 0.0

a = 3.9944 Å, b = 4.3800 Å, c = 5.8785 Å
α = 68.10°, β = 90.00°, γ = 90.00°
Last column: nearest neighbours and their distance in Å.
Fractional positions:
Si (0.0000, 0.6781, 0.5193)  2 Be 2.27
Be (0.5000, 0.5784, 0.7174)  2 Si 2.27
Ca (0.5000, 0.2634, 0.3484)  2 Be 2.97-2.98, 4 Si 3.11
Ca (0.0000, 0.9801, 0.9149)  3 Si 3.07-3.30, 4 Be 3.15-3.16

***

Entry 2:
Material: AcCeNdY
Method: DFT, PBE-GGA
State: relaxed

## Properties
Energy of formation from the pure elements, eV/atom: 0.207

a = 5.9010 Å, b = 5.9010 Å, c = 5.9010 Å
α = 60.00°, β = 60.00°, γ = 60.00°
Last column: nearest neighbours and their distance in Å.
Fractional positions:
Ce (0.5000, 0.5000, 0.5000)  4 Nd 3.61, 4 Y 3.61
Y (0.7500, 0.7500, 0.7500)  4 Ce 3.61, 4 Ac 3.61
Nd (0.2500, 0.2500, 0.2500)  4 Ac 3.61, 4 Ce 3.61
Ac (0.0000, 0.0000, 0.0000)  4 Nd 3.61, 4 Y 3.61

***

Entry 3:
Material: Hf7ZnBi2H2
Method: DFT, PBE-GGA
State: relaxed

a = 4.2820 Å, b = 4.2820 Å, c = 12.8325 Å
α = 77.84°, β = 77.84°, γ = 89.83°
Last column: nearest neighbours and their distance in Å.
Fractional positions:
Hf (0.2443, 0.2443, 0.4004)  1 H 2.86, 5 Bi 2.99-3.10
Hf (0.1109, 0.6129, 0.8210)  2 H 2.14-2.15
Hf (0.6129, 0.1109, 0.8210)  2 H 2.14-2.15
Hf (0.5000, 0.5000, 0.0000)  2 H 2.05
Hf (0.8891, 0.3871, 0.1790)  2 H 2.14-2.15
Hf (0.3871, 0.8891, 0.1790)  2 H 2.14-2.15
Hf (0.7557, 0.7557, 0.5996)  1 H 2.86, 5 Bi 2.99-3.10
H (0.3963, 0.3963, 0.1672)  5 Hf 2.05-2.15
H (0.6037, 0.6037, 0.8328)  5 Hf 2.05-2.15
Zn (0.0000, 0.0000, 0.0000)  12 Hf 3.02-3.07
Bi (0.2275, 0.2275, 0.6355)  9 Hf 2.99-3.13
Bi (0.7725, 0.7725, 0.3645)  9 Hf 2.99-3.13

***

Entry 4:
Material: CaDy2Er3Se6
Method: DFT, PBE-GGA
State: relaxed

## Properties
Formation energy without anion corrections, eV per atom: -1.766

a = 4.0587 Å, b = 8.1779 Å, c = 9.1047 Å
α = 103.08°, β = 102.88°, γ = 90.00°
Last column: nearest neighbours and their distance in Å.
Fractional positions:
Se (0.0007, 0.2536, 0.0014)  3 Er 2.86-2.90, 2 Ca 2.90, 1 Dy 2.94
Se (0.3363, 0.4153, 0.6727)  3 Er 2.83, 3 Dy 2.86
Se (0.9993, 0.7464, 0.9986)  3 Er 2.86-2.90, 2 Ca 2.90, 1 Dy 2.94
Se (0.6676, 0.0804, 0.3351)  3 Er 2.85-2.90, 1 Ca 2.89, 2 Dy 2.94
Se (0.6637, 0.5847, 0.3273)  3 Er 2.83, 3 Dy 2.86
Se (0.3324, 0.9196, 0.6649)  3 Er 2.85-2.90, 1 Ca 2.89, 2 Dy 2.94
Er (0.8326, 0.1730, 0.6653)  6 Se 2.83-2.90
Er (0.1674, 0.8270, 0.3347)  6 Se 2.83-2.90
Er (0.5000, 0.5000, 0.0000)  6 Se 2.83-2.86
Dy (0.1709, 0.3419, 0.3419)  6 Se 2.86-2.94
Dy (0.8291, 0.6581, 0.6581)  6 Se 2.86-2.94
Ca (0.5000, 0.0000, 0.0000)  6 Se 2.89-2.90

***

Entry 5:
Material: Ac2GaSbPd6
Method: DFT, PBE-GGA
State: relaxed

## Properties
Formation energy without anion corrections, eV per atom: -0.752

a = 6.7665 Å, b = 6.9925 Å, c = 6.9934 Å
α = 47.72°, β = 78.53°, γ = 97.96°
Last column: nearest neighbours and their distance in Å.
Fractional positions:
Ga (0.5000, 0.5000, 0.0000)  6 Pd 2.52-2.56
Sb (0.0000, 0.0000, 0.0000)  6 Pd 2.67-2.72
Pd (0.7378, 0.7439, 0.5113)  1 Ga 2.53, 1 Sb 2.67, 2 Pd 2.77-2.80
Pd (0.2622, 0.2561, 0.4887)  1 Ga 2.53, 1 Sb 2.67, 2 Pd 2.77-2.80
Pd (0.7379, 0.2492, 0.0064)  1 Ga 2.52, 1 Sb 2.67, 2 Pd 2.78-2.80
Pd (0.9020, 0.7465, 0.8430)  1 Ga 2.56, 1 Sb 2.72, 4 Pd 2.77-2.84
Pd (0.2621, 0.7508, 0.9936)  1 Ga 2.52, 1 Sb 2.67, 2 Pd 2.78-2.80
Pd (0.0980, 0.2535, 0.1570)  1 Ga 2.56, 1 Sb 2.72, 4 Pd 2.77-2.84
Ac (0.2808, 0.7530, 0.4731)  7 Pd 3.16-3.39
Ac (0.7192, 0.2470, 0.5269)  7 Pd 3.16-3.39

***

Entry 6:
Material: KSbPdI2
Method: DFT, PBE-GGA
State: relaxed

## Properties
Formation energy without anion corrections, eV per atom: -0.361
Energy relative to the lowest polymorph listed for this composition, meV per atom: 0.0

a = 5.9195 Å, b = 5.0989 Å, c = 5.9195 Å
α = 90.00°, β = 90.00°, γ = 90.00°
Last column: nearest neighbours and their distance in Å.
Fractional positions:
K (0.5000, 0.5000, 0.5000)  8 I 3.91, 4 Sb 4.19
I (0.5000, 0.0000, 0.0000)  2 Pd 2.96
I (0.0000, 0.0000, 0.5000)  2 Pd 2.96
Pd (0.0000, 0.0000, 0.0000)  2 Sb 2.55
Sb (0.0000, 0.5000, 0.0000)  2 Pd 2.55

***

Entry 7:
Material: MnBiSe2
Method: DFT, PBE-GGA
State: relaxed

## Properties
Formation energy without anion corrections, eV per atom: -0.120

a = 4.1582 Å, b = 4.1582 Å, c = 5.8651 Å
α = 90.00°, β = 90.00°, γ = 90.00°
Last column: nearest neighbours and their distance in Å.
Fractional positions:
Se (0.5000, 0.5000, 0.5000)  2 Bi 2.93, 4 Mn 2.94
Se (0.0000, 0.0000, 0.0000)  2 Mn 2.93, 4 Bi 2.94
Mn (0.0000, 0.0000, 0.5000)  6 Se 2.93-2.94
Bi (0.5000, 0.5000, 0.0000)  6 Se 2.93-2.94

***

Entry 8:
Material: Rb2YMgBr6
Method: DFT, PBE-GGA
State: relaxed

## Properties
Formation energy without anion corrections, eV per atom: -1.551

a = 8.1010 Å, b = 8.1010 Å, c = 8.0933 Å
α = 59.97°, β = 59.97°, γ = 90.00°
Last column: nearest neighbours and their distance in Å.
Fractional positions:
Br (0.7533, 0.7533, 0.0000)  1 Y 2.83, 1 Mg 2.90
Br (0.2467, 0.7533, 0.0000)  1 Y 2.83, 1 Mg 2.90
Br (0.7526, 0.7526, 0.4949)  1 Y 2.83, 1 Mg 2.89
Br (0.7533, 0.2467, 0.0000)  1 Y 2.83, 1 Mg 2.90
Br (0.2467, 0.2467, 0.0000)  1 Y 2.83, 1 Mg 2.90
Br (0.2474, 0.2474, 0.5051)  1 Y 2.83, 1 Mg 2.89
Rb (0.2500, 0.7500, 0.5000)  12 Br 4.05
Rb (0.7500, 0.2500, 0.5000)  12 Br 4.05
Mg (0.5000, 0.5000, 0.0000)  6 Br 2.89-2.90
Y (0.0000, 0.0000, 0.0000)  6 Br 2.83

***

| no. | DFT total energy (eV/f.u.) | magnetic moment (μB/atom) |
| --- | --- | --- |
| 1 | -13.99 | 0.000 |
| 2 | -20.45 | 0.276 |
| 3 | -87.45 | 0.000 |
| 4 | -66.99 | 0.000 |
| 5 | -54.04 | 0.000 |
| 6 | -15.32 | 0.000 |
| 7 | -20.50 | 1.148 |
| 8 | -35.54 | 0.000 |